A geometry-optimized MnPbO3 structure. Source: the Alexandria database, functional PBE with a Hubbard U.

Cell lengths 5.907, 5.046, 10.428 Å; angles 86.51, 90.00, 90.00 degrees
Fractional positions:
Pb (0.789, 0.004, 0.372)
Pb (0.789, 0.496, 0.628)
Pb (0.211, 0.504, 0.372)
Pb (0.211, 0.996, 0.628)
O (0.871, 0.906, 0.095)
O (0.822, 0.975, 0.594)
O (0.871, 0.594, 0.905)
O (0.380, 0.594, 0.905)
O (0.620, 0.094, 0.905)
O (0.380, 0.906, 0.095)
O (0.822, 0.525, 0.406)
O (0.178, 0.025, 0.406)
O (0.178, 0.475, 0.594)
O (0.620, 0.406, 0.095)
O (0.129, 0.406, 0.095)
O (0.129, 0.094, 0.905)
Mn (0.873, 0.250, 0.000)
Mn (0.127, 0.750, 0.000)
Mn (0.623, 0.750, 0.000)
Mn (0.377, 0.250, 0.000)

The total energy comes out at -6.43 eV per atom. For the magnetization, the calculation gives 2.99 μB/f.u.